An optimized crystal structure of Sm2Mg2Tl. Source: the Alexandria database, functional GGA-PBE.

CIF file:
```
data_Sm2Mg2Tl
_chemical_formula_sum 'Sm4 Mg4 Tl2'
_space_group_name_H-M_alt 'P 1'
_space_group_IT_number 1
_cell_length_a 5.185
_cell_length_b 6.287
_cell_length_c 9.969
_cell_angle_alpha 98.00
_cell_angle_beta 74.93
_cell_angle_gamma 65.65
loop_
_space_group_symop_operation_xyz
'x,y,z'
loop_
_atom_site_label
_atom_site_type_symbol
_atom_site_fract_x
_atom_site_fract_y
_atom_site_fract_z
Mg1 Mg 0.941 0.697 0.421
Sm1 Sm 0.697 0.262 0.344
Sm2 Sm 0.895 0.273 0.938
Sm3 Sm 0.303 0.738 0.656
Mg2 Mg 0.660 0.821 0.860
Mg3 Mg 0.059 0.303 0.579
Sm4 Sm 0.105 0.727 0.062
Tl1 Tl 0.552 0.192 0.704
Mg4 Mg 0.340 0.179 0.140
Tl2 Tl 0.448 0.808 0.296
```

SG: No. 12
Theoretical density, g cm⁻³: 6.7
Energy above the most stable polymorph in this dataset, meV/atom: 0.0
Volume, Å³ per cell: 274.4
Magnetic moment, μB/atom: 0.000
E_form, meV per atom: -164
Total DFT energy (no corrections), eV per atom: -3.16



An optimized crystal structure of Sm3MgTl3. Source: the Alexandria database, functional GGA-PBE.

CIF file:
```
data_Sm3MgTl3
_chemical_formula_sum 'Sm6 Mg2 Tl6'
_space_group_name_H-M_alt 'P 1'
_space_group_IT_number 1
_cell_length_a 5.556
_cell_length_b 9.224
_cell_length_c 9.224
_cell_angle_alpha 120.00
_cell_angle_beta 90.00
_cell_angle_gamma 90.00
loop_
_space_group_symop_operation_xyz
'x,y,z'
loop_
_atom_site_label
_atom_site_type_symbol
_atom_site_fract_x
_atom_site_fract_y
_atom_site_fract_z
Tl1 Tl 0.250 0.946 0.195
Tl2 Tl 0.750 0.751 0.946
Tl3 Tl 0.250 0.249 0.054
Tl4 Tl 0.750 0.195 0.249
Sm1 Sm 0.250 0.354 0.450
Mg1 Mg 0.750 0.333 0.667
Sm2 Sm 0.750 0.450 0.097
Sm3 Sm 0.750 0.646 0.550
Tl5 Tl 0.250 0.805 0.751
Sm4 Sm 0.250 0.097 0.646
Tl6 Tl 0.750 0.054 0.805
Mg2 Mg 0.250 0.667 0.333
Sm5 Sm 0.750 0.903 0.354
Sm6 Sm 0.250 0.550 0.903
```

SG: No. 176
Theoretical density, g cm⁻³: 8.8
Volume, Å³ per cell: 409.4
Magnetic moment, μB/atom: 0.000
E_form, meV per atom: -159
Total DFT energy (no corrections), eV per atom: -3.42



An optimized crystal structure of Sm5Mg2Tl. Source: the Alexandria database, functional GGA-PBE.

CIF file:
```
data_Sm5Mg2Tl
_chemical_formula_sum 'Sm10 Mg4 Tl2'
_space_group_name_H-M_alt 'P 1'
_space_group_IT_number 1
_cell_length_a 7.989
_cell_length_b 7.989
_cell_length_c 9.626
_cell_angle_alpha 114.52
_cell_angle_beta 114.52
_cell_angle_gamma 90.00
loop_
_space_group_symop_operation_xyz
'x,y,z'
loop_
_atom_site_label
_atom_site_type_symbol
_atom_site_fract_x
_atom_site_fract_y
_atom_site_fract_z
Sm1 Sm 0.504 0.679 0.683
Sm2 Sm 0.996 0.496 0.317
Tl1 Tl 0.750 0.750 0.500
Sm3 Sm 0.321 0.821 0.317
Sm4 Sm 0.821 0.996 0.317
Sm5 Sm 0.004 0.504 0.683
Sm6 Sm 0.500 0.500 0.000
Mg1 Mg 0.873 0.627 0.000
Mg2 Mg 0.127 0.373 0.000
Sm7 Sm 0.679 0.179 0.683
Sm8 Sm 0.496 0.321 0.317
Sm9 Sm 0.179 0.004 0.683
Mg3 Mg 0.627 0.127 0.000
Sm10 Sm 0.000 0.000 0.000
Mg4 Mg 0.373 0.873 0.000
Tl2 Tl 0.250 0.250 0.500
```

SG: No. 140
Theoretical density, g cm⁻³: 6.7
Energy above the most stable polymorph in this dataset, meV/atom: 54.2
Volume, Å³ per cell: 497.5
Magnetic moment, μB/atom: 0.000
E_form, meV per atom: -37
Total DFT energy (no corrections), eV per atom: -3.68